Record 1
The following is a GGA-PBE calculation of a relaxed structure of ErMgGePt, from Alexandria.

The space group is F-43m (No. 216) and the conventional cell measures 6.767, 6.767 and 6.767 Å, with angles of 90.00, 90.00 and 90.00 degrees. The distinct sites, in fractional coordinates, are Er at (0.000, 0.000, 0.000), Mg at (0.000, 0.000, 0.500), Ge at (0.250, 0.250, 0.250) and Pt at (0.250, 0.250, 0.750).

Its final energy is -4.966 eV/atom. The value obtained for the calculated volume is 19.37 Å³ per atom.



Record 2
The following is a GGA-PBE calculation of a relaxed structure of TbY2Hg2, from Alexandria.

The space group is P4/mbm (No. 127) and the conventional cell measures 8.489, 8.489 and 3.842 Å, with angles of 90.00, 90.00 and 90.00 degrees. The distinct sites, in fractional coordinates, are Tb at (0.000, 0.000, 0.000), Y at (0.166, 0.334, 0.500) and Hg at (0.133, 0.633, 0.000).

Its final energy is -4.038 eV/atom. The value obtained for the calculated volume is 27.69 Å³ per atom.



Record 3
The following is a GGA-PBE calculation of a relaxed structure of LiNdGd, from Alexandria.

The space group is P3m1 (No. 156) and the conventional cell measures 3.5531, 3.5531 and 8.4284 Å, with angles of 90.00, 90.00 and 120.00 degrees. The distinct sites, in fractional coordinates, are Li at (0.0000, 0.0000, 0.0000), Nd at (0.3333, 0.6667, 0.6677) and Gd at (0.6667, 0.3333, 0.3258).

Its final energy is -6.820 eV/atom. The value obtained for the calculated volume is 30.72 Å³ per atom.



Record 4
The following is a GGA-PBE calculation of a relaxed structure of RbAgCl3, from Alexandria.

The space group is R3m (No. 160, hexagonal axes) and the conventional cell measures 7.8543, 7.8543 and 15.9314 Å, with angles of 90.00, 90.00 and 120.00 degrees. The distinct sites, in fractional coordinates, are Rb at (0.0000, 0.0000, 0.0000), Ag at (0.0000, 0.0000, 0.7860) and Cl at (0.1721, 0.3442, 0.8161).

The value obtained for the formation energy without anion corrections is -0.787 eV/atom. The value obtained for the calculated volume is 56.74 Å³ per atom.



Record 5
The following is a GGA-PBE calculation of a relaxed structure of AcPr4Y3, from Alexandria.

The space group is Immm (No. 71) and the conventional cell measures 3.815, 6.013 and 25.141 Å, with angles of 90.00, 90.00 and 90.00 degrees. The distinct sites, in fractional coordinates, are Ac at (0.000, 0.000, 0.000), Pr at (0.000, 0.500, 0.114), Pr at (0.000, 0.500, 0.359), Y at (0.000, 0.000, 0.265) and Y at (0.000, 0.000, 0.500).

Its final energy is -5.246 eV/atom. The value obtained for the calculated volume is 36.05 Å³ per atom.



Record 6
The following is a GGA-PBE calculation of a relaxed structure of Ti3NbHg, from Alexandria.

The space group is Pm-3m (No. 221) and the conventional cell measures 4.912, 4.912 and 4.912 Å, with angles of 90.00, 90.00 and 90.00 degrees. The distinct sites, in fractional coordinates, are Ti at (0.000, 0.000, 0.500), Nb at (0.500, 0.500, 0.500) and Hg at (0.000, 0.000, 0.000).

Its final energy is -5.406 eV/atom. The value obtained for the calculated volume is 23.71 Å³ per atom.



Record 7
The following is a GGA-PBE calculation of a relaxed structure of LaHgW2, from Alexandria.

The space group is I-42d (No. 122) and the conventional cell measures 4.331, 4.331 and 20.308 Å, with angles of 90.00, 90.00 and 90.00 degrees. The distinct sites, in fractional coordinates, are La at (0.000, 0.000, 0.000), Hg at (0.000, 0.000, 0.500) and W at (0.164, 0.250, 0.625).

Its final energy is -6.748 eV/atom. The value obtained for the calculated volume is 23.80 Å³ per atom.



Record 8
The following is a GGA-PBE calculation of a relaxed structure of MgInSb2, from Alexandria.

The space group is F-43m (No. 216) and the conventional cell measures 7.512, 7.512 and 7.512 Å, with angles of 90.00, 90.00 and 90.00 degrees. The distinct sites, in fractional coordinates, are Mg at (0.000, 0.000, 0.000), In at (0.250, 0.250, 0.250), Sb at (0.000, 0.000, 0.500) and Sb at (0.250, 0.250, 0.750).

The value obtained for the formation energy without anion corrections is 0.072 eV/atom. The value obtained for the calculated volume is 26.49 Å³ per atom.



Record 9
The following is a GGA-PBE calculation of a relaxed structure of Mg2MoPb, from Alexandria.

The space group is I-4m2 (No. 119) and the conventional cell measures 4.134, 4.134 and 9.081 Å, with angles of 90.00, 90.00 and 90.00 degrees. The distinct sites, in fractional coordinates, are Mg at (0.000, 0.000, 0.000), Mg at (0.000, 0.500, 0.250), Mo at (0.000, 0.000, 0.500) and Pb at (0.000, 0.500, 0.750).

Its final energy is -4.174 eV/atom. The value obtained for the calculated volume is 19.40 Å³ per atom.



Record 10
The following is a GGA-PBE calculation of a relaxed structure of PaInGa6, from Alexandria.

The space group is Cmmm (No. 65) and the conventional cell measures 6.816, 10.236 and 4.674 Å, with angles of 90.00, 90.00 and 90.00 degrees. The distinct sites, in fractional coordinates, are Pa at (0.000, 0.000, 0.000), In at (0.000, 0.500, 0.000), Ga at (0.000, 0.209, 0.500), Ga at (0.217, 0.500, 0.500) and Ga at (0.250, 0.250, 0.000).

Its final energy is -3.896 eV/atom. The value obtained for the calculated volume is 20.38 Å³ per atom.



Record 11
The following is a GGA-PBE calculation of a relaxed structure of CaLa3Ir, from Alexandria.

The space group is P2_1 (No. 4) and the conventional cell measures 6.363, 7.285 and 7.509 Å, with angles of 90.00, 96.25 and 90.00 degrees. The distinct sites, in fractional coordinates, are Ca at (0.031, 0.000, 0.100), La at (0.087, 0.459, 0.414), La at (0.441, 0.747, 0.738), La at (0.471, 0.247, 0.751) and Ir at (0.312, 0.024, 0.457).

Its final energy is -5.473 eV/atom. The value obtained for the calculated volume is 34.60 Å³ per atom.



Record 12
The following is a GGA-PBE calculation of a relaxed structure of LiTlOsF6, from Alexandria.

The space group is P312 (No. 149) and the conventional cell measures 5.4389, 5.4389 and 6.0720 Å, with angles of 90.00, 90.00 and 120.00 degrees. The distinct sites, in fractional coordinates, are Li at (0.0000, 0.0000, 0.0000), Tl at (0.6667, 0.3333, 0.5000), Os at (0.3333, 0.6667, 0.0000) and F at (0.0433, 0.3490, 0.1781).

The value obtained for the formation energy without anion corrections is -2.011 eV/atom. The value obtained for the calculated volume is 17.28 Å³ per atom.



Record 13
The following is a GGA-PBE calculation of a relaxed structure of Mn2SiP, from Alexandria.

The space group is C2/m (No. 12) and the conventional cell measures 7.460, 2.705 and 4.627 Å, with angles of 90.00, 101.61 and 90.00 degrees. The distinct sites, in fractional coordinates, are Mn at (0.246, 0.000, 0.239), Si at (0.000, 0.000, 0.500) and P at (0.000, 0.500, 0.000).

The value obtained for the formation energy without anion corrections is -0.176 eV/atom. The value obtained for the calculated volume is 11.43 Å³ per atom.



Record 14
The following is a GGA-PBE calculation of a relaxed structure of Nd6Sm3Dy2In, from Alexandria.

The space group is C2/m (No. 12) and the conventional cell measures 6.242, 10.858 and 11.885 Å, with angles of 90.00, 100.35 and 90.00 degrees. The distinct sites, in fractional coordinates, are Nd at (0.244, 0.163, 0.244), Nd at (0.245, 0.000, 0.753), Sm at (0.000, 0.169, 0.500), Sm at (0.000, 0.500, 0.500), Dy at (0.000, 0.334, 0.000) and In at (0.000, 0.000, 0.000).

Its final energy is -4.594 eV/atom. The value obtained for the calculated volume is 33.02 Å³ per atom.



Record 15
The following is a GGA-PBE calculation of a relaxed structure of Y3Ho, from Alexandria.

The space group is Pm-3m (No. 221) and the conventional cell measures 5.036, 5.036 and 5.036 Å, with angles of 90.00, 90.00 and 90.00 degrees. The distinct sites, in fractional coordinates, are Y at (0.000, 0.000, 0.500) and Ho at (0.500, 0.500, 0.500).

Its final energy is -5.967 eV/atom. The value obtained for the calculated volume is 31.92 Å³ per atom.



Record 16
The following is a GGA-PBE calculation of a relaxed structure of LaPmAlAu, from Alexandria.

The space group is F-43m (No. 216) and the conventional cell measures 7.544, 7.544 and 7.544 Å, with angles of 90.00, 90.00 and 90.00 degrees. The distinct sites, in fractional coordinates, are La at (0.000, 0.000, 0.000), Pm at (0.000, 0.000, 0.500), Al at (0.250, 0.250, 0.250) and Au at (0.250, 0.250, 0.750).

Its final energy is -4.666 eV/atom. The value obtained for the calculated volume is 26.83 Å³ per atom.



Computed values of Fermi-level density of states (unit: states/eV per cell) for the preceding records, in sequence: 11.3 6.4 3.6 17.1 28.6 6.6 15.7 9.1 1.5 10.9 9.2 5.9 7.8 29.9 6.0 18.6.
Computed values of size of the total moment (unit: μB/f.u.) for the preceding records, in sequence: 0.00 0.00 7.58 1.00 0.00 2.80 0.00 0.00 0.00 0.00 0.00 2.00 1.73 0.00 0.00 0.28.